# AgSn2PAu, optimized geometry, DFT PBE
data_AgSn2PAu
_cell_length_a 5.583
_cell_length_b 5.583
_cell_length_c 4.577
_cell_angle_alpha 90.00
_cell_angle_beta 90.00
_cell_angle_gamma 90.00
_symmetry_space_group_name_H-M 'P 4/m m m'
_symmetry_Int_Tables_number 123
_symmetry_space_group_name_Hall '-P 4 2'
loop_
_atom_site_label
_atom_site_fract_x
_atom_site_fract_y
_atom_site_fract_z
Ag1 0.000 0.000 0.000
Sn1 0.000 0.500 0.500
P1 0.500 0.500 0.000
Au1 0.500 0.500 0.500
# Total magnetization in μB per atom: 0.000
# Energy relative to the elements in meV per atom: 606
# DOS at the Fermi energy in states/eV/cell: 4.3